Below is a relaxed structure of Ba2LiF6, with properties calculated at the PBE level.

The calculation puts the uncorrected formation energy at -3.1610 eV per atom. As for the uncorrected energy: -5.049 eV per atom. For the density of states at the Fermi level, the calculation gives 5.84 states/eV/f.u. The total magnetization is 2.05 μB/cell.

The space group is P2_1/c (No. 14) and the conventional cell measures 5.4466, 7.8439 and 7.8220 Å, with angles of 90.00, 117.05 and 90.00 degrees. The asymmetric unit holds Ba at (0.1718, 0.0991, 0.3015), Li at (0.5000, 0.0000, 0.0000), F at (0.1748, 0.1133, 0.9673), F at (0.3061, 0.7304, 0.9456) and F at (0.3198, 0.0150, 0.6897).

***

Below is a relaxed structure of BaLiF3, with properties calculated at the PBE level.

The calculation puts the energy relative to the lowest polymorph listed for this composition at 0 meV per atom. The calculation puts the uncorrected formation energy at -3.4874 eV per atom. As for the uncorrected energy: -5.378 eV per atom. For the density of states at the Fermi level, the calculation gives 0.00 states/eV/f.u. The total magnetization is 0.00 μB/cell.

The space group is Pm-3m (No. 221) and the conventional cell measures 4.0492, 4.0492 and 4.0492 Å, with angles of 90.00, 90.00 and 90.00 degrees. The asymmetric unit holds Ba at (0.0000, 0.0000, 0.0000), Li at (0.5000, 0.5000, 0.5000) and F at (0.0000, 0.5000, 0.5000).

***

Below is a relaxed structure of BaLi2MgF8, with properties calculated at the PBE level.

The calculation puts the uncorrected formation energy at -2.7501 eV per atom. As for the uncorrected energy: -4.610 eV per atom. For the density of states at the Fermi level, the calculation gives 7.96 states/eV/f.u. The total magnetization is 6.04 μB/cell.

The space group is R-3 (No. 148, hexagonal axes) and the conventional cell measures 5.1644, 5.1644 and 19.5674 Å, with angles of 90.00, 90.00 and 120.00 degrees. The asymmetric unit holds Ba at (0.0000, 0.0000, 0.0000), Li at (0.0000, 0.0000, 0.1803), Mg at (0.0000, 0.0000, 0.5000), F at (0.0000, 0.0000, 0.3391) and F at (0.0059, 0.3494, 0.7801).